A plane-wave DFT calculation with PBE-GGA was carried out for an optimized crystal structure of Li4Mg3Ag2.

Unit cell a=10.308 b=3.596 c=9.545 alpha=90.00 beta=110.13 gamma=90.00
Space group C2/m (No. 12)
One atom of each set of equivalent atoms:
Li (0.004, 0.000, 0.317) x4
Li (0.177, 0.500, 0.887) x4
Mg (0.000, 0.000, 0.000) x2
Mg (0.162, 0.500, 0.560) x4
Ag (0.168, 0.500, 0.224) x4

Properties
DFT total energy (eV per atom): -2.166
Total magnetization (μB per formula unit): 0.00
Calculated volume (A^3/atom): 18.45
Mass density (g/cm3): 3.16
Energy above the most stable polymorph in this dataset (eV/atom): 0.003
DFT formation energy (eV per formula unit): -1.3